[1]
The following is a PBE calculation of a relaxed Tc2P crystal, from Alexandria.

abc: 4.9756 5.0404 3.6814
angles: 90.00 90.00 90.00
Atoms (fractional coordinates):
Tc (0.0982, 0.2284, 0.0000)
Tc (0.4018, 0.7284, 0.5000)
Tc (0.5982, 0.2716, 0.5000)
Tc (0.9018, 0.7716, 0.0000)
P (0.0000, 0.5000, 0.5000)
P (0.5000, 0.0000, 0.0000)

## Properties
Density of states at the Fermi level in states/eV per atom: 0.88
Spin magnetization in μB/f.u.: 0.0
Formation energy in eV per atom: -0.059
Relative energy among the computed polymorphs in eV per atom: 0.379
SG: Pnnm, No. 58



[2]
The following is a PBE calculation of a relaxed YHo6Tm3Sc2 crystal, from Alexandria.

abc: 6.0232 6.0232 11.4963
angles: 95.00 95.00 119.94
Atoms (fractional coordinates):
Y (0.0000, 0.0000, 0.0000)
Ho (0.0828, 0.4192, 0.2465)
Ho (0.2537, 0.2537, 0.7535)
Ho (0.4192, 0.0828, 0.2465)
Ho (0.5808, 0.9172, 0.7535)
Ho (0.7463, 0.7463, 0.2465)
Ho (0.9172, 0.5808, 0.7535)
Tm (0.1669, 0.8331, 0.5000)
Tm (0.5000, 0.5000, 0.5000)
Tm (0.8331, 0.1669, 0.5000)
Sc (0.3334, 0.6666, 0.0000)
Sc (0.6666, 0.3334, 0.0000)

## Properties
Density of states at the Fermi level in states/eV per atom: 1.49
Spin magnetization in μB/f.u.: 0.0
Formation energy in eV per atom: 0.039
SG: C2/m, No. 12



[3]
The following is a PBE calculation of a relaxed LiRuRh2 crystal, from Alexandria.

abc: 4.2782 4.2782 4.2782
angles: 60.00 60.00 60.00
Atoms (fractional coordinates):
Li (0.0000, 0.0000, 0.0000)
Ru (0.5000, 0.5000, 0.5000)
Rh (0.2500, 0.2500, 0.2500)
Rh (0.7500, 0.7500, 0.7500)

## Properties
Density of states at the Fermi level in states/eV per atom: 1.14
Spin magnetization in μB/f.u.: 2.6
Formation energy in eV per atom: 0.126
Relative energy among the computed polymorphs in eV per atom: 0.139
SG: Fm-3m, No. 225



[4]
The following is a PBE calculation of a relaxed BeAlCd2 crystal, from Alexandria.

abc: 6.5818 6.5818 6.5818
angles: 155.55 141.43 46.20
Atoms (fractional coordinates):
Be (0.0000, 0.0000, 0.0000)
Al (0.8237, 0.3237, 0.5000)
Cd (0.2024, 0.7024, 0.5000)
Cd (0.5085, 0.5085, 0.0000)

## Properties
Density of states at the Fermi level in states/eV per atom: 0.23
Spin magnetization in μB/f.u.: 0.0
Formation energy in eV per atom: 0.248
Relative energy among the computed polymorphs in eV per atom: 0.033
SG: Imm2, No. 44